Compound: AlWOF2
Source: the Alexandria database
Functional: PBE with a Hubbard U
Structure: optimized geometry

* spin magnetization: 3.0 μB/f.u.
* crystal system: tetragonal
* offset from the most stable computed form: 15 meV per atom

```
AlWOF2
1.0
-0.889 3.905 -1.528
-1.904 -1.768 -3.410
-3.705 -0.028 2.083
W O Al F
1 1 1 2
Cartesian
0.000 0.000 0.000
-1.853 -0.014 1.042
-3.249 1.055 -1.427
-0.444 1.953 -0.764
-0.952 -0.884 -1.705
```